Below is a geometry-optimized NbIn2BiP structure, with properties calculated at the PBEsol level.

Cell: 5.2131 5.5857 5.5857 Å, 90.00 90.00 90.00°
Closest atoms and distances in Å follow each position.
Fractional positions:
In1 0.0000 0.5000 0.0000  2 Bi 2.79
In2 0.0000 0.0000 0.5000  2 Bi 2.79
Bi1 0.0000 0.0000 0.0000  2 P 2.61, 4 In 2.79
P1 0.5000 0.0000 0.0000  2 Bi 2.61
Nb1 0.5000 0.5000 0.5000  8 In 3.82, 4 P 3.95

Values from the calculation:
E = -18.9 eV for the cell shown
SG = P4/mmm, No. 123
formation energy from the elements = 1.601 eV per atom